Ba3DyV2O9 | GGA+U | relaxed

Cell and atoms, written as POSCAR:
```
Ba3DyV2O9
1.0
5.8251 0.0000 0.0000
-2.9126 5.0447 0.0000
0.0000 0.0000 7.1550
Ba Dy V O
3 1 2 9
Cartesian
0.0000 0.0000 0.0000 Ba
0.0000 3.3631 4.8767 Ba
2.9126 1.6816 2.2783 Ba
0.0000 0.0000 3.5775 Dy
0.0000 3.3631 1.1737 V
2.9126 1.6816 5.9813 V
-1.4563 2.5224 0.0000 O
0.0000 1.8008 2.2424 O
-1.3530 4.1443 2.2424 O
1.5596 0.9004 4.9126 O
2.9126 0.0000 0.0000 O
1.4563 2.5224 0.0000 O
1.3530 4.1443 2.2424 O
4.2656 0.9004 4.9126 O
2.9126 3.2439 4.9126 O
```

Calculated values
Fermi-level density of states: 2.14 states/eV/cell
E_tot: -109.2 eV for the cell shown
size of the total moment: 1.0 μB/f.u.